DFT (PBE) results for a geometry-optimized Hf2ZnPb structure.

Cell: 4.9261 4.9261 4.9261 Å, 60.00 60.00 60.00°
With the nearest neighbours (Å) after each atom.
Positions (direct):
Pb1 0.5000 0.5000 0.5000  8 Hf 3.02
Zn1 0.0000 0.0000 0.0000  8 Hf 3.02
Hf1 0.2500 0.2500 0.2500  4 Pb 3.02, 4 Zn 3.02
Hf2 0.7500 0.7500 0.7500  4 Pb 3.02, 4 Zn 3.02

## Properties
formation enthalpy at 0 K	143	meV per atom
E	-24.3	eV per formula unit
distance to the lowest polymorph of the same formula	169	meV/atom